# LiAl2Ir | Alexandria via LeMat-Bulk | GGA-PBE | optimized geometry
data_LiAl2Ir
_space_group_name_H-M_alt 'P 1'
_space_group_IT_number 1
_space_group_name_Hall 'P 1'
_cell_length_a 8.998
_cell_length_b 8.998
_cell_length_c 8.998
_cell_angle_alpha 155.02
_cell_angle_beta 155.02
_cell_angle_gamma 35.62
loop_
_atom_site_label
_atom_site_type_symbol
_atom_site_fract_x
_atom_site_fract_y
_atom_site_fract_z
_atom_site_occupancy
Li1 Li 0.000 0.000 0.000 1
Li2 Li 0.750 0.250 0.500 1
Al1 Al 0.138 0.625 0.013 1
Al2 Al 0.375 0.388 0.513 1
Al3 Al 0.612 0.125 0.987 1
Al4 Al 0.875 0.862 0.487 1
Ir1 Ir 0.250 0.750 0.500 1
Ir2 Ir 0.500 0.500 0.000 1
# Total magnetic moment   0.000 μB per atom
# Offset from the most stable computed form   741 meV per atom
# DOS(E_F)   4.054 states/eV/cell
# E_form   0.012 eV/atom